# 1
A relaxed BaCaHf2Ru crystal, computed with PBE.

Geometry as POSCAR:
```
BaCaHf2Ru
1.0
5.091 0.000 0.000
0.000 6.117 0.000
0.000 0.000 5.091
Ru Ca Hf Ba
1 1 2 1
direct
0.000 0.000 0.000
0.500 0.500 0.500
0.000 0.000 0.500
0.500 0.000 0.000
0.000 0.500 0.000
```

Results
- Calculated total energy: -6.21 eV/atom
- Spin magnetization: 0.07 μB/f.u.
- Offset from the most stable computed form: 0.000 eV per atom
- D(E_F): 7.703 states/eV/f.u.
- ΔE_f: 0.41 eV per atom

# 2
A relaxed BaCaHf2Ru crystal, computed with PBE.

Geometry as POSCAR:
```
BaCaHf2Ru
1.0
-0.534 -4.390 -3.043
4.868 0.252 -1.217
1.216 -3.078 4.227
Ru Ca Hf Ba
1 1 2 1
direct
0.000 0.500 0.000
0.500 0.500 0.500
0.000 0.000 0.500
0.500 0.000 0.000
0.000 0.000 0.000
```

Results
- Calculated total energy: -4.89 eV/atom
- Spin magnetization: 0.00 μB/f.u.
- Offset from the most stable computed form: 1.319 eV per atom
- D(E_F): 5.143 states/eV/f.u.
- ΔE_f: 1.73 eV per atom

# 3
A relaxed BaCaHf2Ta crystal, computed with PBE.

Geometry as POSCAR:
```
BaCaHf2Ta
1.0
-4.663 -1.439 2.248
0.743 -4.900 -1.597
2.557 -1.109 4.593
Ca Hf Ba Ta
1 2 1 1
direct
0.500 0.500 0.500
0.000 0.000 0.500
0.500 0.000 0.000
0.000 0.000 0.000
0.000 0.500 0.000
```

Results
- Calculated total energy: -5.20 eV/atom
- Spin magnetization: 0.00 μB/f.u.
- D(E_F): 9.303 states/eV/f.u.
- ΔE_f: 1.94 eV per atom

# 4
A relaxed BaCaHf2Zn crystal, computed with PBE.

Geometry as POSCAR:
```
BaCaHf2Zn
1.0
-3.125 1.769 4.015
1.064 -4.580 2.846
4.262 2.395 2.262
Zn Ca Hf Ba
1 1 2 1
direct
0.000 0.500 0.000
0.000 0.000 0.000
0.000 0.000 0.500
0.500 0.000 0.000
0.500 0.500 0.500
```

Results
- Calculated total energy: -3.78 eV/atom
- Spin magnetization: 0.20 μB/f.u.
- Offset from the most stable computed form: 0.000 eV per atom
- D(E_F): 4.225 states/eV/f.u.
- ΔE_f: 1.25 eV per atom

# 5
A relaxed BaCa2Hg crystal, computed with PBE.

Geometry as POSCAR:
```
BaCa2Hg
1.0
4.139 0.000 0.000
2.070 3.585 0.000
2.070 1.195 11.146
Ba Ca Hg
1 2 1
direct
0.500 0.500 0.499
0.062 0.062 0.813
0.271 0.271 0.188
0.667 0.667 0.000
```

Results
- Calculated total energy: -1.75 eV/atom
- Spin magnetization: 0.00 μB/f.u.
- D(E_F): 4.294 states/eV/f.u.
- ΔE_f: -0.19 eV per atom

# 6
A relaxed BaCaHg3 crystal, computed with PBE.

Geometry as POSCAR:
```
BaCaHg3
1.0
5.784 0.000 0.000
0.000 5.784 0.000
0.000 0.000 5.784
Ca Hg Ba
1 3 1
direct
0.000 0.000 0.000
0.000 0.500 0.000
0.000 0.000 0.500
0.500 0.000 0.000
0.500 0.500 0.500
```

Results
- Calculated total energy: -1.15 eV/atom
- Spin magnetization: 0.00 μB/f.u.
- Offset from the most stable computed form: 0.313 eV per atom
- D(E_F): 5.142 states/eV/f.u.
- ΔE_f: -0.19 eV per atom